## Zr9Co3O2 (PBE with a Hubbard U)

Data for a relaxed Zr9Co3O2 crystal.

a b c (Å): 5.788 5.788 26.917
angles (deg): 93.20 93.20 33.26
Atoms (fractional coordinates):
Zr 0.057 0.057 0.256
Zr 0.068 0.068 0.922
Zr 0.069 0.069 0.585
Zr 0.349 0.349 0.312
Zr 0.360 0.360 0.977
Zr 0.365 0.365 0.185
Zr 0.367 0.367 0.519
Zr 0.371 0.371 0.644
Zr 0.374 0.374 0.851
Zr 0.626 0.626 0.149
Zr 0.629 0.629 0.356
Zr 0.633 0.633 0.481
Zr 0.635 0.635 0.815
Zr 0.640 0.640 0.023
Zr 0.651 0.651 0.688
Zr 0.931 0.931 0.415
Zr 0.932 0.932 0.078
Zr 0.943 0.943 0.744
Co 0.244 0.244 0.422
Co 0.246 0.246 0.092
Co 0.256 0.256 0.757
Co 0.744 0.744 0.243
Co 0.754 0.754 0.908
Co 0.756 0.756 0.578
O 0.000 0.000 0.000
O 0.000 0.000 0.500
O 0.013 0.013 0.665
O 0.987 0.987 0.335

Raw total energy: -225.19 eV for the cell shown
N(E_F): 0.6499 states/eV/atom
Space-group type: No. 12